No. 1
A relaxed CaNd2Al crystal, computed with PBE.

Output
The distance to the lowest polymorph of the same formula is 0.62 kcal/mol of atoms. The mass density comes out at 4.9 Mg/m³. For the volume, the calculation gives 30.1 A^3/atom. The calculation puts the formation energy at -39 kJ/mol of formula units.

Lattice parameters (Å, degrees): 5.011 5.011 4.788 90.00 90.00 90.00
Space group P4/mmm (No. 123)
Inequivalent atoms, fractional coordinates:
Ca: 0.000 0.000 0.000 x1
Nd: 0.000 0.500 0.500 x2
Al: 0.500 0.500 0.000 x1

***

No. 2
A relaxed In2HgAsS2 crystal, computed with PBE.

Output
The value obtained for the energy relative to the elements, uncorrected is -242 meV per atom. The mass density comes out at 4.9 Mg/m³. For the volume, the calculation gives 32.0 A^3/atom.

Lattice parameters (Å, degrees): 15.576 7.231 6.821 90.00 90.00 90.00
Space group Cmc2_1 (No. 36)
Inequivalent atoms, fractional coordinates:
In: 0.175 0.164 0.000 x8
Hg: 0.000 0.493 0.322 x4
As: 0.000 0.236 0.066 x4
S: 0.189 0.173 0.619 x8

***

No. 3
A relaxed MgBe2Pt crystal, computed with PBE.

Output
The mass density comes out at 7.9 Mg/m³. For the volume, the calculation gives 12.4 A^3/atom. The calculation puts the formation energy at -108 kJ/mol of formula units.

Lattice parameters (Å, degrees): 3.835 3.835 3.382 90.00 90.00 90.00
Space group P4/mmm (No. 123)
Inequivalent atoms, fractional coordinates:
Mg: 0.000 0.000 0.000 x1
Be: 0.000 0.500 0.500 x2
Pt: 0.500 0.500 0.000 x1

***

No. 4
A relaxed LaHo2ScS6 crystal, computed with PBE.

Output
The value obtained for the energy relative to the elements, uncorrected is -2016 meV per atom. The mass density comes out at 4.7 Mg/m³. For the volume, the calculation gives 25.2 A^3/atom.

Lattice parameters (Å, degrees): 6.8995 6.8995 18.3456 90.00 90.00 120.00
Space group R3 (No. 146, hexagonal axes)
Inequivalent atoms, fractional coordinates:
La: 0.0000 0.0000 0.0000 x3
Ho: 0.0000 0.0000 0.2860 x3
Ho: 0.0000 0.0000 0.7945 x3
Sc: 0.0000 0.0000 0.4864 x3
S: 0.0269 0.7277 0.3913 x9
S: 0.0280 0.3461 0.5554 x9

***

No. 5
A relaxed ZnS crystal, computed with PBE.

Output
The value obtained for the energy relative to the elements, uncorrected is -807 meV per atom. The mass density comes out at 4.0 Mg/m³. For the volume, the calculation gives 20.2 A^3/atom.

Lattice parameters (Å, degrees): 3.8487 3.8487 44.0550 90.00 90.00 120.00
Space group P3m1 (No. 156)
Inequivalent atoms, fractional coordinates:
Zn: 0.0000 0.0000 0.0000 x1
Zn: 0.0000 0.0000 0.1429 x1
Zn: 0.0000 0.0000 0.3572 x1
Zn: 0.0000 0.0000 0.5714 x1
Zn: 0.0000 0.0000 0.7144 x1
Zn: 0.3333 0.6667 0.0715 x1
Zn: 0.3333 0.6667 0.2857 x1
Zn: 0.3333 0.6667 0.4286 x1
Zn: 0.3333 0.6667 0.6429 x1
Zn: 0.3333 0.6667 0.8572 x1
Zn: 0.6667 0.3333 0.2143 x1
Zn: 0.6667 0.3333 0.5001 x1
Zn: 0.6667 0.3333 0.7857 x1
Zn: 0.6667 0.3333 0.9286 x1
S: 0.0000 0.0000 0.0535 x1
S: 0.0000 0.0000 0.1964 x1
S: 0.0000 0.0000 0.4108 x1
S: 0.0000 0.0000 0.6249 x1
S: 0.0000 0.0000 0.7679 x1
S: 0.3333 0.6667 0.1251 x1
S: 0.3333 0.6667 0.3392 x1
S: 0.3333 0.6667 0.4822 x1
S: 0.3333 0.6667 0.6965 x1
S: 0.3333 0.6667 0.9108 x1
S: 0.6667 0.3333 0.2678 x1
S: 0.6667 0.3333 0.5536 x1
S: 0.6667 0.3333 0.8392 x1
S: 0.6667 0.3333 0.9821 x1

***

No. 6
A relaxed PrYZnAg crystal, computed with PBE.

Output
The distance to the lowest polymorph of the same formula is 0.00 kcal/mol of atoms. The mass density comes out at 6.7 Mg/m³. For the volume, the calculation gives 24.9 A^3/atom. The calculation puts the formation energy at -120 kJ/mol of formula units.

Lattice parameters (Å, degrees): 3.671 3.671 7.391 90.00 90.00 90.00
Space group P4mm (No. 99)
Inequivalent atoms, fractional coordinates:
Pr: 0.000 0.000 0.000 x1
Y: 0.000 0.000 0.516 x1
Zn: 0.500 0.500 0.743 x1
Ag: 0.500 0.500 0.280 x1

***

| no. | final energy (eV per atom) |
| --- | --- |
| 1 | -3.921 |
| 2 | -3.356 |
| 3 | -4.052 |
| 4 | -6.534 |
| 5 | -3.508 |
| 6 | -4.152 |